## Ca2InBO5 (PBE-GGA)

Data for a relaxed structure of Ca2InBO5.

abc: 7.0294 7.0294 10.1693
angles: 90.00 90.00 154.16
Fractional coordinates of all 18 atoms:
Ca1 0.1067 0.8933 0.5000
Ca2 0.1277 0.8723 0.1783
Ca3 0.8723 0.1277 0.6783
Ca4 0.8933 0.1067 0.0000
In1 0.1905 0.8095 0.8803
In2 0.8095 0.1905 0.3803
B1 0.4439 0.5561 0.2362
B2 0.5561 0.4439 0.7362
O1 0.0320 0.9680 0.8225
O2 0.2988 0.7012 0.5247
O3 0.3404 0.6596 0.2260
O4 0.3434 0.6566 0.8478
O5 0.4989 0.5011 0.1226
O6 0.5011 0.4989 0.6226
O7 0.6566 0.3434 0.3478
O8 0.6596 0.3404 0.7260
O9 0.7012 0.2988 0.0247
O10 0.9680 0.0320 0.3225

Properties
Energy relative to the elements, uncorrected = -2.33 eV/atom
Symmetry = Cmc2_1, No. 36

---

## Ca2InB2Pd5 (PBE-GGA)

Data for a relaxed structure of Ca2InB2Pd5.

abc: 9.9532 9.9532 3.2343
angles: 90.00 90.00 90.00
Fractional coordinates of all 20 atoms:
Ca1 0.1776 0.3224 0.0000
Ca2 0.3224 0.8224 0.0000
Ca3 0.6776 0.1776 0.0000
Ca4 0.8224 0.6776 0.0000
In1 0.0000 0.0000 0.0000
In2 0.5000 0.5000 0.0000
B1 0.1197 0.6197 0.0000
B2 0.3803 0.1197 0.0000
B3 0.6197 0.8803 0.0000
B4 0.8803 0.3803 0.0000
Pd1 0.0000 0.5000 0.5000
Pd2 0.0692 0.7699 0.5000
Pd3 0.2301 0.0692 0.5000
Pd4 0.2699 0.5692 0.5000
Pd5 0.4308 0.2699 0.5000
Pd6 0.5000 0.0000 0.5000
Pd7 0.5692 0.7301 0.5000
Pd8 0.7301 0.4308 0.5000
Pd9 0.7699 0.9308 0.5000
Pd10 0.9308 0.2301 0.5000

Properties
Symmetry = P4/mbm, No. 127

---

## Ca2InB2Pt5 (PBE-GGA)

Data for a relaxed structure of Ca2InB2Pt5.

abc: 10.0743 10.0743 3.1826
angles: 90.00 90.00 90.00
Fractional coordinates of all 20 atoms:
Ca1 0.1793 0.3207 0.0000
Ca2 0.3207 0.8207 0.0000
Ca3 0.6793 0.1793 0.0000
Ca4 0.8207 0.6793 0.0000
In1 0.0000 0.0000 0.0000
In2 0.5000 0.5000 0.0000
B1 0.1199 0.6199 0.0000
B2 0.3801 0.1199 0.0000
B3 0.6199 0.8801 0.0000
B4 0.8801 0.3801 0.0000
Pt1 0.0000 0.5000 0.5000
Pt2 0.0669 0.7690 0.5000
Pt3 0.2310 0.0669 0.5000
Pt4 0.2690 0.5669 0.5000
Pt5 0.4331 0.2690 0.5000
Pt6 0.5000 0.0000 0.5000
Pt7 0.5669 0.7310 0.5000
Pt8 0.7310 0.4331 0.5000
Pt9 0.7690 0.9331 0.5000
Pt10 0.9331 0.2310 0.5000

Properties
Symmetry = P4/mbm, No. 127

---

## RbCa2InB (PBE-GGA)

Data for a relaxed structure of RbCa2InB.

abc: 6.0969 6.0969 4.6810
angles: 90.00 90.00 90.00
Fractional coordinates of all 5 atoms:
Rb1 0.0000 0.0000 0.0000
Ca1 0.0000 0.5000 0.0000
Ca2 0.5000 0.0000 0.0000
In1 0.5000 0.5000 0.5000
B1 0.0000 0.0000 0.5000

Properties
Symmetry = P4/mmm, No. 123

---

## Ca2InB2Rh5 (PBE-GGA)

Data for a relaxed structure of Ca2InB2Rh5.

abc: 9.9307 9.9307 3.0388
angles: 90.00 90.00 90.00
Fractional coordinates of all 20 atoms:
Ca1 0.1783 0.3217 0.0000
Ca2 0.3217 0.8217 0.0000
Ca3 0.6783 0.1783 0.0000
Ca4 0.8217 0.6783 0.0000
In1 0.0000 0.0000 0.0000
In2 0.5000 0.5000 0.0000
B1 0.1210 0.6210 0.0000
B2 0.3790 0.1210 0.0000
B3 0.6210 0.8790 0.0000
B4 0.8790 0.3790 0.0000
Rh1 0.0000 0.5000 0.5000
Rh2 0.0687 0.7710 0.5000
Rh3 0.2290 0.0687 0.5000
Rh4 0.2710 0.5687 0.5000
Rh5 0.4313 0.2710 0.5000
Rh6 0.5000 0.0000 0.5000
Rh7 0.5687 0.7290 0.5000
Rh8 0.7290 0.4313 0.5000
Rh9 0.7710 0.9313 0.5000
Rh10 0.9313 0.2290 0.5000

Properties
Symmetry = P4/mbm, No. 127

---

## CaInTcB2 (PBE-GGA)

Data for a relaxed structure of CaInTcB2.

abc: 4.6444 4.6444 4.9687
angles: 90.00 90.00 90.00
Fractional coordinates of all 5 atoms:
Ca1 0.0000 0.0000 0.0000
In1 0.5000 0.5000 0.5000
Tc1 0.0000 0.0000 0.5000
B1 0.0000 0.5000 0.0000
B2 0.5000 0.0000 0.0000

Properties
Symmetry = P4/mmm, No. 123

---

## Ca2TiInB (PBE-GGA)

Data for a relaxed structure of Ca2TiInB.

abc: 6.0545 6.0545 4.0890
angles: 90.00 90.00 90.00
Fractional coordinates of all 5 atoms:
Ca1 0.0000 0.5000 0.0000
Ca2 0.5000 0.0000 0.0000
Ti1 0.0000 0.0000 0.5000
In1 0.5000 0.5000 0.0000
B1 0.5000 0.5000 0.5000

Properties
Symmetry = P4/mmm, No. 123

---

## CaTl2InB (PBE-GGA)

Data for a relaxed structure of CaTl2InB.

abc: 5.2453 5.2453 4.6672
angles: 90.00 90.00 90.00
Fractional coordinates of all 5 atoms:
Ca1 0.0000 0.0000 0.0000
Tl1 0.0000 0.5000 0.5000
Tl2 0.5000 0.0000 0.5000
In1 0.5000 0.5000 0.0000
B1 0.5000 0.5000 0.5000

Properties
Symmetry = P4/mmm, No. 123

---

## CaB4Ir12 (PBE-GGA)

Data for a relaxed structure of CaB4Ir12.

abc: 6.7571 6.7571 6.7571
angles: 109.47 109.47 109.47
Fractional coordinates of all 17 atoms:
Ca1 0.0000 0.0000 0.0000
B1 0.0000 0.0000 0.5000
B2 0.0000 0.5000 0.0000
B3 0.5000 0.0000 0.0000
B4 0.5000 0.5000 0.5000
Ir1 0.1569 0.8324 0.3245
Ir2 0.1676 0.3245 0.4921
Ir3 0.1676 0.6755 0.8431
Ir4 0.3245 0.1569 0.8324
Ir5 0.3245 0.4921 0.1676
Ir6 0.4921 0.1676 0.3245
Ir7 0.5079 0.8324 0.6755
Ir8 0.6755 0.5079 0.8324
Ir9 0.6755 0.8431 0.1676
Ir10 0.8324 0.3245 0.1569
Ir11 0.8324 0.6755 0.5079
Ir12 0.8431 0.1676 0.6755

Properties
Symmetry = Im-3, No. 204

---

## CaB3Ir (PBE-GGA)

Data for a relaxed structure of CaB3Ir.

abc: 4.1200 4.1200 4.1200
angles: 90.00 90.00 90.00
Fractional coordinates of all 5 atoms:
Ca1 0.0000 0.0000 0.0000
B1 0.0000 0.5000 0.5000
B2 0.5000 0.0000 0.5000
B3 0.5000 0.5000 0.0000
Ir1 0.5000 0.5000 0.5000

Properties
Symmetry = Pm-3m, No. 221
Energy above the lowest structure with this stoichiometry = 0.0000 eV per atom

---

## CaB3Ir5 (PBE-GGA)

Data for a relaxed structure of CaB3Ir5.

abc: 5.0879 5.0879 15.3521
angles: 90.00 90.00 142.33
Fractional coordinates of all 18 atoms:
Ca1 0.2013 0.7987 0.7500
Ca2 0.7987 0.2013 0.2500
B1 0.0526 0.9474 0.2500
B2 0.3566 0.6434 0.5414
B3 0.3566 0.6434 0.9586
B4 0.6434 0.3566 0.0414
B5 0.6434 0.3566 0.4586
B6 0.9474 0.0526 0.7500
Ir1 0.0000 0.0000 0.0000
Ir2 0.0000 0.0000 0.5000
Ir3 0.2633 0.7367 0.0851
Ir4 0.2633 0.7367 0.4149
Ir5 0.4684 0.5316 0.6610
Ir6 0.4684 0.5316 0.8390
Ir7 0.5316 0.4684 0.1610
Ir8 0.5316 0.4684 0.3390
Ir9 0.7367 0.2633 0.5851
Ir10 0.7367 0.2633 0.9149

Properties
Symmetry = Cmcm, No. 63

---

## CaB3Ir3 (PBE-GGA)

Data for a relaxed structure of CaB3Ir3.

abc: 5.8885 5.8885 5.8885
angles: 90.00 90.00 90.00
Fractional coordinates of all 14 atoms:
Ca1 0.0000 0.0000 0.0000
Ca2 0.5000 0.5000 0.5000
B1 0.0000 0.2500 0.5000
B2 0.0000 0.7500 0.5000
B3 0.2500 0.5000 0.0000
B4 0.5000 0.0000 0.2500
B5 0.5000 0.0000 0.7500
B6 0.7500 0.5000 0.0000
Ir1 0.0000 0.5000 0.2500
Ir2 0.0000 0.5000 0.7500
Ir3 0.2500 0.0000 0.5000
Ir4 0.5000 0.2500 0.0000
Ir5 0.5000 0.7500 0.0000
Ir6 0.7500 0.0000 0.5000

Properties
Symmetry = Pm-3n, No. 223

---

## CaB4Ir4 (PBE-GGA)

Data for a relaxed structure of CaB4Ir4.

abc: 7.6250 7.6250 4.0133
angles: 90.00 90.00 90.00
Fractional coordinates of all 18 atoms:
Ca1 0.2500 0.2500 0.2500
Ca2 0.7500 0.7500 0.7500
B1 0.0304 0.9079 0.1395
B2 0.0921 0.5304 0.6395
B3 0.4079 0.9696 0.6395
B4 0.4696 0.5921 0.1395
B5 0.5304 0.4079 0.8605
B6 0.5921 0.0304 0.3605
B7 0.9079 0.4696 0.3605
B8 0.9696 0.0921 0.8605
Ir1 0.0965 0.6371 0.1396
Ir2 0.1371 0.9035 0.6396
Ir3 0.3629 0.5965 0.6396
Ir4 0.4035 0.8629 0.1396
Ir5 0.5965 0.1371 0.8604
Ir6 0.6371 0.4035 0.3604
Ir7 0.8629 0.0965 0.3604
Ir8 0.9035 0.3629 0.8604

Properties
Symmetry = P4_2/n, No. 86
Energy above the lowest structure with this stoichiometry = 0.0000 eV per atom

---

## CaB6Ir6 (PBE-GGA)

Data for a relaxed structure of CaB6Ir6.

abc: 6.0298 6.0298 6.0298
angles: 133.35 100.72 97.33
Fractional coordinates of all 13 atoms:
Ca1 0.0000 0.0000 0.0000
B1 0.0000 0.0000 0.5000
B2 0.0000 0.5000 0.0000
B3 0.2297 0.5000 0.7297
B4 0.5000 0.0000 0.0000
B5 0.5000 0.5000 0.5000
B6 0.7703 0.5000 0.2703
Ir1 0.1842 0.6842 0.5000
Ir2 0.3306 0.0000 0.3306
Ir3 0.3387 0.3387 0.0000
Ir4 0.6613 0.6613 0.0000
Ir5 0.6694 0.0000 0.6694
Ir6 0.8158 0.3158 0.5000

Properties
Symmetry = Immm, No. 71

---

## CaB6Ir12 (PBE-GGA)

Data for a relaxed structure of CaB6Ir12.

abc: 6.5405 6.5405 6.5405
angles: 103.73 103.73 103.73
Fractional coordinates of all 19 atoms:
Ca1 0.0000 0.0000 0.0000
B1 0.2308 0.2308 0.6692
B2 0.2308 0.6692 0.2308
B3 0.3308 0.7692 0.7692
B4 0.6692 0.2308 0.2308
B5 0.7692 0.3308 0.7692
B6 0.7692 0.7692 0.3308
Ir1 0.1348 0.5000 0.8652
Ir2 0.1348 0.8652 0.5000
Ir3 0.1846 0.4477 0.4477
Ir4 0.4477 0.1846 0.4477
Ir5 0.4477 0.4477 0.1846
Ir6 0.5000 0.1348 0.8652
Ir7 0.5000 0.8652 0.1348
Ir8 0.5523 0.5523 0.8154
Ir9 0.5523 0.8154 0.5523
Ir10 0.8154 0.5523 0.5523
Ir11 0.8652 0.1348 0.5000
Ir12 0.8652 0.5000 0.1348

Properties
Symmetry = R-3m, No. 166

---

## CaB4Ir (PBE-GGA)

Data for a relaxed structure of CaB4Ir.

abc: 5.9958 11.6141 3.5393
angles: 90.00 90.00 90.00
Fractional coordinates of all 24 atoms:
Ca1 0.1300 0.1498 0.0000
Ca2 0.3700 0.6498 0.0000
Ca3 0.6300 0.3502 0.0000
Ca4 0.8700 0.8502 0.0000
B1 0.0259 0.6910 0.5000
B2 0.1120 0.5468 0.5000
B3 0.1365 0.9706 0.5000
B4 0.2105 0.8142 0.5000
B5 0.2895 0.3142 0.5000
B6 0.3635 0.4706 0.5000
B7 0.3880 0.0468 0.5000
B8 0.4741 0.1910 0.5000
B9 0.5259 0.8090 0.5000
B10 0.6120 0.9532 0.5000
B11 0.6365 0.5294 0.5000
B12 0.7105 0.6858 0.5000
B13 0.7895 0.1858 0.5000
B14 0.8635 0.0294 0.5000
B15 0.8880 0.4532 0.5000
B16 0.9741 0.3090 0.5000
Ir1 0.1439 0.4058 0.0000
Ir2 0.3561 0.9058 0.0000
Ir3 0.6439 0.0942 0.0000
Ir4 0.8561 0.5942 0.0000

Properties
Symmetry = Pbam, No. 55

---

## CaB4Ir4 (PBE-GGA)

Data for a relaxed structure of CaB4Ir4.

abc: 5.4219 5.4219 7.4170
angles: 90.00 90.00 90.00
Fractional coordinates of all 18 atoms:
Ca1 0.2500 0.7500 0.2500
Ca2 0.7500 0.2500 0.7500
B1 0.0746 0.2500 0.0969
B2 0.2500 0.0746 0.5969
B3 0.2500 0.4254 0.5969
B4 0.4254 0.2500 0.0969
B5 0.5746 0.7500 0.9031
B6 0.7500 0.5746 0.4031
B7 0.7500 0.9254 0.4031
B8 0.9254 0.7500 0.9031
Ir1 0.0023 0.7500 0.6060
Ir2 0.2500 0.5023 0.8940
Ir3 0.2500 0.9977 0.8940
Ir4 0.4977 0.7500 0.6060
Ir5 0.5023 0.2500 0.3940
Ir6 0.7500 0.0023 0.1060
Ir7 0.7500 0.4977 0.1060
Ir8 0.9977 0.2500 0.3940

Properties
Symmetry = P4_2/nmc, No. 137
Energy above the lowest structure with this stoichiometry = 0.0759 eV per atom

---

## CaB4Ir5 (PBE-GGA)

Data for a relaxed structure of CaB4Ir5.

abc: 5.4627 5.8066 8.6216
angles: 90.00 102.03 90.00
Fractional coordinates of all 20 atoms:
Ca1 0.0999 0.2500 0.2661
Ca2 0.9001 0.7500 0.7339
B1 0.0097 0.7500 0.4160
B2 0.0186 0.7500 0.0903
B3 0.4236 0.0121 0.8059
B4 0.4236 0.4879 0.8059
B5 0.5764 0.5121 0.1941
B6 0.5764 0.9879 0.1941
B7 0.9814 0.2500 0.9097
B8 0.9903 0.2500 0.5840
Ir1 0.2545 0.5018 0.0026
Ir2 0.2545 0.9982 0.0026
Ir3 0.2659 0.5038 0.5644
Ir4 0.2659 0.9962 0.5644
Ir5 0.3226 0.7500 0.2915
Ir6 0.6774 0.2500 0.7085
Ir7 0.7341 0.0038 0.4356
Ir8 0.7341 0.4962 0.4356
Ir9 0.7455 0.0018 0.9974
Ir10 0.7455 0.4982 0.9974

Properties
Symmetry = P2_1/m, No. 11

---

## CaB3Ir (PBE-GGA)

Data for a relaxed structure of CaB3Ir.

abc: 4.1125 4.1125 4.1125
angles: 90.00 90.00 90.00
Fractional coordinates of all 5 atoms:
Ca1 0.0000 0.0000 0.0000
B1 0.0000 0.0000 0.5000
B2 0.0000 0.5000 0.0000
B3 0.5000 0.0000 0.0000
Ir1 0.5000 0.5000 0.5000

Properties
Symmetry = Pm-3m, No. 221
Energy above the lowest structure with this stoichiometry = 2.6885 eV per atom

---

no.,calculated total energy (eV/cell),density of states at the Fermi level (states/eV/atom)
1,-118.33,0.00
2,-102.20,0.49
3,-112.93,0.45
4,-7.18,0.89
5,-125.42,0.34
6,-16.45,0.74
7,-16.35,0.68
8,-14.17,0.47
9,-131.83,1.71
10,-28.92,0.76
11,-134.91,0.73
12,-102.12,0.28
13,-136.97,0.55
14,-90.70,0.58
15,-152.68,0.80
16,-160.22,0.08
17,-135.60,0.32
18,-151.51,0.42
19,-15.48,0.98